# 1
Compound: TaBP3
Source: Alexandria via LeMat-Bulk
Functional: GGA-PBEsol
Structure: relaxed

## Properties
- DOS at the Fermi energy: 3.47 states/eV/f.u.
- DFT formation energy: 3.28 eV per formula unit

Cell lengths 4.058, 4.058, 4.058 Å; angles 90.00, 90.00, 90.00 degrees
Space group Pm-3m (No. 221)
One atom of each set of equivalent atoms:
Ta 0.000 0.000 0.000 x1
B 0.500 0.500 0.500 x1
P 0.000 0.500 0.500 x3


# 2
Compound: Sr2CaGe2
Source: Alexandria via LeMat-Bulk
Functional: GGA-PBEsol
Structure: relaxed

## Properties
- DOS at the Fermi energy: 4.14 states/eV/f.u.
- DFT formation energy: -2.79 eV per formula unit

Cell lengths 7.946, 7.946, 4.648 Å; angles 90.00, 90.00, 90.00 degrees
Space group P4/mbm (No. 127)
One atom of each set of equivalent atoms:
Sr 0.174 0.326 0.000 x4
Ca 0.000 0.000 0.500 x2
Ge 0.115 0.615 0.500 x4


# 3
Compound: Se2IBrO
Source: Alexandria via LeMat-Bulk
Functional: GGA-PBEsol
Structure: relaxed

## Properties
- Uncorrected formation energy: 1.2261 eV per atom
- DOS at the Fermi energy: 8.20 states/eV/f.u.

Cell lengths 5.373, 5.373, 5.516 Å; angles 90.00, 90.00, 90.00 degrees
Space group P4/mmm (No. 123)
One atom of each set of equivalent atoms:
Se 0.000 0.500 0.000 x2
I 0.000 0.000 0.000 x1
Br 0.000 0.000 0.500 x1
O 0.500 0.500 0.500 x1


# 4
Compound: AlPtW2
Source: Alexandria via LeMat-Bulk
Functional: GGA-PBEsol
Structure: relaxed

## Properties
- DOS at the Fermi energy: 3.04 states/eV/f.u.
- DFT formation energy: 0.04 eV per formula unit

Cell lengths 4.823, 2.785, 9.231 Å; angles 90.00, 100.19, 90.00 degrees
Space group C2/m (No. 12)
One atom of each set of equivalent atoms:
Al 0.000 0.000 0.000 x2
Pt 0.000 0.500 0.500 x2
W 0.249 0.500 0.251 x4


# 5
Compound: Cr2CdPb
Source: Alexandria via LeMat-Bulk
Functional: GGA-PBEsol
Structure: relaxed

## Properties
- DOS at the Fermi energy: 2.27 states/eV/f.u.
- DFT formation energy: 2.69 eV per formula unit

Cell lengths 3.137, 3.837, 6.204 Å; angles 90.00, 90.00, 90.00 degrees
Space group Pmmm (No. 47)
One atom of each set of equivalent atoms:
Cr 0.000 0.000 0.242 x2
Cd 0.500 0.500 0.000 x1
Pb 0.500 0.500 0.500 x1


# 6
Compound: Gd2Ru2O7
Source: Alexandria via LeMat-Bulk
Functional: GGA-PBEsol
Structure: relaxed

## Properties
- Uncorrected formation energy: -2.1710 eV per atom
- DOS at the Fermi energy: 8.63 states/eV/f.u.

Cell lengths 10.149, 10.149, 10.149 Å; angles 90.00, 90.00, 90.00 degrees
Space group Fd-3m (No. 227, origin choice 2)
One atom of each set of equivalent atoms:
Gd 0.000 0.000 0.000 x16
Ru 0.000 0.000 0.500 x16
O 0.082 0.375 0.875 x48
O 0.125 0.125 0.125 x8


# 7
Compound: Nd2Ni5B4
Source: Alexandria via LeMat-Bulk
Functional: GGA-PBEsol
Structure: relaxed

## Properties
- DOS at the Fermi energy: 5.17 states/eV/f.u.
- DFT formation energy: -5.56 eV per formula unit

Cell lengths 9.715, 5.034, 6.700 Å; angles 90.00, 125.89, 90.00 degrees
Space group C2/m (No. 12)
One atom of each set of equivalent atoms:
Nd 0.225 0.000 0.148 x4
Ni 0.000 0.500 0.000 x2
Ni 0.075 0.248 0.373 x8
B 0.100 0.000 0.642 x4
B 0.221 0.500 0.342 x4


# 8
Compound: BaLi2Zn
Source: Alexandria via LeMat-Bulk
Functional: GGA-PBEsol
Structure: relaxed

## Properties
- DOS at the Fermi energy: 2.81 states/eV/f.u.
- DFT formation energy: -0.01 eV per formula unit

Cell lengths 3.982, 4.313, 6.856 Å; angles 90.00, 106.32, 90.00 degrees
Space group Pm (No. 6)
One atom of each set of equivalent atoms:
Ba 0.000 0.000 0.000 x1
Li 0.271 0.000 0.522 x1
Li 0.731 0.500 0.445 x1
Zn 0.376 0.500 0.744 x1


# 9
Compound: CaCd2Re
Source: Alexandria via LeMat-Bulk
Functional: GGA-PBEsol
Structure: relaxed

## Properties
- DOS at the Fermi energy: 3.21 states/eV/f.u.
- Energy above the lowest structure with this stoichiometry: 0.000 eV per atom
- DFT formation energy: 1.98 eV per formula unit

Cell lengths 10.127, 2.879, 5.374 Å; angles 90.00, 98.88, 90.00 degrees
Space group Cm (No. 8)
One atom of each set of equivalent atoms:
Ca 0.000 0.000 0.000 x2
Cd 0.238 0.000 0.724 x2
Cd 0.488 0.000 0.480 x2
Re 0.251 0.500 0.235 x2


# 10
Compound: SmMoO4F
Source: Alexandria via LeMat-Bulk
Functional: GGA-PBEsol
Structure: relaxed

## Properties
- Uncorrected formation energy: -2.8465 eV per atom
- DOS at the Fermi energy: 0.00 states/eV/f.u.

Cell lengths 5.264, 12.439, 6.756 Å; angles 90.00, 113.40, 90.00 degrees
Space group P2_1/c (No. 14)
One atom of each set of equivalent atoms:
Sm 0.139 0.053 0.299 x4
Mo 0.418 0.142 0.867 x4
O 0.195 0.066 0.961 x4
O 0.270 0.652 0.413 x4
O 0.306 0.227 0.292 x4
O 0.494 0.069 0.665 x4
F 0.041 0.599 0.958 x4


# 11
Compound: AlIrW2
Source: Alexandria via LeMat-Bulk
Functional: GGA-PBEsol
Structure: relaxed

## Properties
- DOS at the Fermi energy: 1.70 states/eV/f.u.
- DFT formation energy: -0.40 eV per formula unit

Cell lengths 2.828, 3.499, 6.022 Å; angles 90.00, 90.00, 90.00 degrees
Space group Pmm2 (No. 25)
One atom of each set of equivalent atoms:
Al 0.000 0.000 0.000 x1
Ir 0.500 0.500 0.237 x1
W 0.000 0.000 0.485 x1
W 0.500 0.500 0.746 x1


# 12
Compound: La6MgSi2S14
Source: Alexandria via LeMat-Bulk
Functional: GGA-PBEsol
Structure: relaxed

## Properties
- Uncorrected formation energy: -1.8218 eV per atom
- DOS at the Fermi energy: 0.00 states/eV/f.u.

Cell lengths 10.2623, 10.2623, 5.6808 Å; angles 90.00, 90.00, 120.00 degrees
Space group P3 (No. 143)
One atom of each set of equivalent atoms:
La 0.0245 0.4560 0.0000 x3
La 0.3089 0.2095 0.5078 x3
Mg 0.6667 0.3333 0.2439 x1
Si 0.0000 0.0000 0.0935 x1
Si 0.3333 0.6667 0.5841 x1
S 0.0000 0.0000 0.7236 x1
S 0.0764 0.2200 0.2333 x3
S 0.1894 0.7420 0.7264 x3
S 0.3333 0.6667 0.2149 x1
S 0.4215 0.2513 0.0027 x3
S 0.5056 0.0875 0.4841 x3